# Pm2NpScO8 GGA-PBE optimized geometry
data_Pm2NpScO8
_chemical_formula_sum 'Pm2 Np1 Sc1 O8'
_space_group_name_H-M_alt 'P -1'
_space_group_IT_number 2
_cell_length_a 3.991
_cell_length_b 5.455
_cell_length_c 7.396
_cell_angle_alpha 89.85
_cell_angle_beta 89.97
_cell_angle_gamma 83.58
loop_
_space_group_symop_operation_xyz
'x,y,z'
'-x,-y,-z'
loop_
_atom_site_label
_atom_site_fract_x
_atom_site_fract_y
_atom_site_fract_z
Pm1 0.000 0.001 0.240
Np1 0.500 0.500 0.500
Sc1 0.500 0.500 0.000
O1 0.063 0.721 0.500
O2 0.066 0.738 0.001
O3 0.451 0.272 0.726
O4 0.452 0.273 0.273
# formation energy from raw total energies = -3.064 eV/atom



# Li2TiPd4 GGA-PBE optimized geometry
data_Li2TiPd4
_chemical_formula_sum 'Li4 Ti2 Pd8'
_space_group_name_H-M_alt 'P 1'
_space_group_IT_number 1
_cell_length_a 4.867
_cell_length_b 6.459
_cell_length_c 7.002
_cell_angle_alpha 89.17
_cell_angle_beta 71.89
_cell_angle_gamma 88.54
loop_
_space_group_symop_operation_xyz
'x,y,z'
loop_
_atom_site_label
_atom_site_fract_x
_atom_site_fract_y
_atom_site_fract_z
Li1 0.000 0.000 0.000
Li2 0.032 0.902 0.513
Li3 0.504 0.131 0.527
Li4 0.788 0.549 0.524
Ti1 0.308 0.406 0.872
Ti2 0.653 0.395 0.163
Pd1 0.036 0.250 0.292
Pd2 0.206 0.665 0.147
Pd3 0.295 0.499 0.506
Pd4 0.404 0.802 0.733
Pd5 0.485 0.056 0.023
Pd6 0.634 0.814 0.304
Pd7 0.824 0.659 0.892
Pd8 0.893 0.250 0.739
# energy above the lowest structure with this stoichiometry = 0.000 eV per atom
# DOS at the Fermi energy = 7.41 states/eV per cell
# energy relative to the elements = -0.41 eV per atom



# HgP3Os GGA-PBE optimized geometry
data_HgP3Os
_chemical_formula_sum 'Hg1 P3 Os1'
_space_group_name_H-M_alt 'P m -3 m'
_space_group_IT_number 221
_space_group_name_Hall '-P 4 2 3'
_cell_length_a 4.664
_cell_length_b 4.664
_cell_length_c 4.664
_cell_angle_alpha 90.00
_cell_angle_beta 90.00
_cell_angle_gamma 90.00
loop_
_atom_site_label
_atom_site_fract_x
_atom_site_fract_y
_atom_site_fract_z
Hg1 0.000 0.000 0.000
P1 0.000 0.500 0.500
Os1 0.500 0.500 0.500
# energy above the lowest structure with this stoichiometry = 0.000 eV per atom
# DOS at the Fermi energy = 4.15 states/eV per cell
# energy relative to the elements = 0.70 eV per atom



# Li2TlTcN GGA-PBE optimized geometry
data_Li2TlTcN
_chemical_formula_sum 'Li2 Tl1 Tc1 N1'
_space_group_name_H-M_alt 'P 4/m m m'
_space_group_IT_number 123
_space_group_name_Hall '-P 4 2'
_cell_length_a 4.201
_cell_length_b 4.201
_cell_length_c 3.915
_cell_angle_alpha 90.00
_cell_angle_beta 90.00
_cell_angle_gamma 90.00
loop_
_atom_site_label
_atom_site_fract_x
_atom_site_fract_y
_atom_site_fract_z
Li1 0.000 0.500 0.000
Tl1 0.000 0.000 0.500
Tc1 0.500 0.500 0.500
N1 0.500 0.500 0.000
# DOS at the Fermi energy = 3.10 states/eV per cell
# formation energy from raw total energies = -0.151 eV/atom



# Ac8P3S4Cl GGA-PBE optimized geometry
data_Ac8P3S4Cl
_chemical_formula_sum 'Ac24 P9 S12 Cl3'
_space_group_name_H-M_alt 'R -3 m'
_space_group_IT_number 166
_space_group_name_Hall '-R 3 2"'
_cell_length_a 8.7517
_cell_length_b 8.7517
_cell_length_c 21.2907
_cell_angle_alpha 90.00
_cell_angle_beta 90.00
_cell_angle_gamma 120.00
loop_
_atom_site_label
_atom_site_fract_x
_atom_site_fract_y
_atom_site_fract_z
Ac1 0.0000 0.0000 0.2481
Ac2 0.0147 0.5074 0.7487
P1 0.0000 0.5000 0.5000
S1 0.0000 0.0000 0.0000
S2 0.0000 0.5000 0.0000
Cl1 0.0000 0.0000 0.5000
# DOS at the Fermi energy = 29.65 states/eV per cell
# formation energy from raw total energies = -1.785 eV/atom



# Mg2Cd5In GGA-PBE optimized geometry
data_Mg2Cd5In
_chemical_formula_sum 'Mg4 Cd10 In2'
_space_group_name_H-M_alt 'P b a m'
_space_group_IT_number 55
_cell_length_a 6.379
_cell_length_b 12.583
_cell_length_c 4.472
_cell_angle_alpha 90.00
_cell_angle_beta 90.00
_cell_angle_gamma 90.00
loop_
_space_group_symop_operation_xyz
'x,y,z'
'-x,-y,-z'
'-x,-y,z'
'x,y,-z'
'x+1/2,-y+1/2,-z'
'-x+1/2,y+1/2,z'
'-x+1/2,y+1/2,-z'
'x+1/2,-y+1/2,z'
loop_
_atom_site_label
_atom_site_fract_x
_atom_site_fract_y
_atom_site_fract_z
Mg1 0.250 0.126 0.000
Cd1 0.000 0.000 0.500
Cd2 0.001 0.248 0.500
Cd3 0.245 0.873 0.000
In1 0.000 0.500 0.500
# DOS at the Fermi energy = 4.90 states/eV per cell
# energy relative to the elements = -0.06 eV per atom



# Pm5Y5Ho2 GGA-PBE optimized geometry
data_Pm5Y5Ho2
_chemical_formula_sum 'Pm10 Y10 Ho4'
_space_group_name_H-M_alt 'C 1 2/m 1'
_space_group_IT_number 12
_cell_length_a 11.829
_cell_length_b 5.739
_cell_length_c 12.331
_cell_angle_alpha 90.00
_cell_angle_beta 108.16
_cell_angle_gamma 90.00
loop_
_space_group_symop_operation_xyz
'x,y,z'
'-x,-y,-z'
'-x,y,-z'
'x,-y,z'
'x+1/2,y+1/2,z'
'-x+1/2,-y+1/2,-z'
'-x+1/2,y+1/2,-z'
'x+1/2,-y+1/2,z'
loop_
_atom_site_label
_atom_site_fract_x
_atom_site_fract_y
_atom_site_fract_z
Pm1 0.000 0.000 0.000
Pm2 0.076 0.000 0.744
Pm3 0.198 0.000 0.533
Y1 0.000 0.500 0.500
Y2 0.184 0.500 0.976
Y3 0.240 0.000 0.270
Ho1 0.081 0.500 0.210
# energy above the lowest structure with this stoichiometry = 0.078 eV per atom
# DOS at the Fermi energy = 40.90 states/eV per cell
# energy relative to the elements = 0.10 eV per atom



# CdHIr GGA-PBE optimized geometry
data_CdHIr
_chemical_formula_sum 'Cd2 H2 Ir2'
_space_group_name_H-M_alt 'P 1 21/m 1'
_space_group_IT_number 11
_cell_length_a 4.690
_cell_length_b 2.809
_cell_length_c 6.794
_cell_angle_alpha 90.00
_cell_angle_beta 103.09
_cell_angle_gamma 90.00
loop_
_space_group_symop_operation_xyz
'x,y,z'
'-x,-y,-z'
'-x,y+1/2,-z'
'x,-y+1/2,z'
loop_
_atom_site_label
_atom_site_fract_x
_atom_site_fract_y
_atom_site_fract_z
Cd1 0.211 0.250 0.375
H1 0.377 0.250 0.866
Ir1 0.240 0.750 0.004
# energy above the lowest structure with this stoichiometry = 0.000 eV per atom
# DOS at the Fermi energy = 2.52 states/eV per cell



# Ni2AgSe2 GGA-PBE optimized geometry
data_Ni2AgSe2
_chemical_formula_sum 'Ni4 Ag2 Se4'
_space_group_name_H-M_alt 'I 4/m m m'
_space_group_IT_number 139
_space_group_name_Hall '-I 4 2'
_cell_length_a 3.622
_cell_length_b 3.622
_cell_length_c 13.501
_cell_angle_alpha 90.00
_cell_angle_beta 90.00
_cell_angle_gamma 90.00
loop_
_atom_site_label
_atom_site_fract_x
_atom_site_fract_y
_atom_site_fract_z
Ni1 0.000 0.500 0.250
Ag1 0.000 0.000 0.000
Se1 0.000 0.000 0.366
# DOS at the Fermi energy = 8.94 states/eV per cell
# formation energy from raw total energies = -0.038 eV/atom



# Pr4DyTm4 GGA-PBE optimized geometry
data_Pr4DyTm4
_chemical_formula_sum 'Pr8 Dy2 Tm8'
_space_group_name_H-M_alt 'I 4/m m m'
_space_group_IT_number 139
_space_group_name_Hall '-I 4 2'
_cell_length_a 10.800
_cell_length_b 10.800
_cell_length_c 5.066
_cell_angle_alpha 90.00
_cell_angle_beta 90.00
_cell_angle_gamma 90.00
loop_
_atom_site_label
_atom_site_fract_x
_atom_site_fract_y
_atom_site_fract_z
Pr1 0.167 0.167 0.000
Dy1 0.000 0.000 0.500
Tm1 0.000 0.337 0.500
# energy above the lowest structure with this stoichiometry = 0.000 eV per atom
# DOS at the Fermi energy = 26.50 states/eV per cell
# energy relative to the elements = 0.02 eV per atom



# Ac4InHgN GGA-PBE optimized geometry
data_Ac4InHgN
_chemical_formula_sum 'Ac16 In4 Hg4 N4'
_space_group_name_H-M_alt 'C m c m'
_space_group_IT_number 63
_space_group_name_Hall '-C 2c 2'
_cell_length_a 7.544
_cell_length_b 16.583
_cell_length_c 7.564
_cell_angle_alpha 90.00
_cell_angle_beta 90.00
_cell_angle_gamma 90.00
loop_
_atom_site_label
_atom_site_fract_x
_atom_site_fract_y
_atom_site_fract_z
Ac1 0.000 0.072 0.250
Ac2 0.000 0.417 0.250
Ac3 0.250 0.250 0.000
In1 0.000 0.381 0.750
Hg1 0.000 0.120 0.750
N1 0.000 0.262 0.250
# DOS at the Fermi energy = 15.26 states/eV per cell
# formation energy from raw total energies = -0.542 eV/atom



# Ti2MnSbH GGA-PBE optimized geometry
data_Ti2MnSbH
_chemical_formula_sum 'Ti2 Mn1 Sb1 H1'
_space_group_name_H-M_alt 'P 4/m m m'
_space_group_IT_number 123
_space_group_name_Hall '-P 4 2'
_cell_length_a 4.053
_cell_length_b 4.053
_cell_length_c 3.944
_cell_angle_alpha 90.00
_cell_angle_beta 90.00
_cell_angle_gamma 90.00
loop_
_atom_site_label
_atom_site_fract_x
_atom_site_fract_y
_atom_site_fract_z
Ti1 0.000 0.500 0.000
Mn1 0.000 0.000 0.500
Sb1 0.500 0.500 0.500
H1 0.000 0.000 0.000
# DOS at the Fermi energy = 3.95 states/eV per cell
# electronic total energy = -6.78 eV/atom